# 1
First-principles (PBE) data for an optimized crystal structure of P3H, as listed in Alexandria via LeMat-Bulk.

Cell and atoms, written as POSCAR:
```
P3H
1.0
4.084 0.000 0.000
2.042 3.537 0.000
2.042 1.179 3.335
P H
3 1
direct
0.750 0.750 0.750 P
0.250 0.250 0.250 P
0.500 0.500 0.500 P
0.000 0.000 0.000 H
```

## Properties
* space group: Fm-3m
* E_tot: -16.2 eV per cell



# 2
First-principles (PBE) data for an optimized crystal structure of LaSi, as listed in Alexandria via LeMat-Bulk.

Cell and atoms, written as POSCAR:
```
LaSi
1.0
5.979 0.000 0.000
0.000 5.979 0.000
0.000 0.000 6.159
Si La
4 4
direct
0.149 0.149 0.500 Si
0.351 0.649 0.000 Si
0.649 0.351 0.000 Si
0.851 0.851 0.500 Si
0.184 0.184 0.000 La
0.816 0.816 0.000 La
0.684 0.316 0.500 La
0.316 0.684 0.500 La
```

## Properties
* space group: P4_2/mnm
* E_tot: -45.2 eV per cell
* uncorrected formation energy: -471 meV/atom



# 3
First-principles (PBE) data for an optimized crystal structure of Li7PtAu3, as listed in Alexandria via LeMat-Bulk.

Cell and atoms, written as POSCAR:
```
Li7PtAu3
1.0
2.827 0.000 0.000
-1.414 10.500 0.000
0.000 0.000 12.187
Pt Au Li
2 6 14
direct
0.026 0.053 0.750 Pt
0.974 0.947 0.250 Pt
0.166 0.332 0.750 Au
0.154 0.308 0.060 Au
0.846 0.692 0.560 Au
0.846 0.692 0.940 Au
0.834 0.668 0.250 Au
0.154 0.308 0.440 Au
0.278 0.557 0.093 Li
0.311 0.622 0.750 Li
0.722 0.443 0.907 Li
0.412 0.823 0.397 Li
0.722 0.443 0.593 Li
0.447 0.893 0.637 Li
0.553 0.107 0.363 Li
0.689 0.378 0.250 Li
0.278 0.557 0.407 Li
0.412 0.823 0.103 Li
0.588 0.177 0.897 Li
0.588 0.177 0.603 Li
0.447 0.893 0.863 Li
0.553 0.107 0.137 Li
```

## Properties
* space group: Cmcm
* E_tot: -68.9 eV per cell



# 4
First-principles (PBE) data for an optimized crystal structure of YAgIr2, as listed in Alexandria via LeMat-Bulk.

Cell and atoms, written as POSCAR:
```
YAgIr2
1.0
-2.756 0.299 1.123
0.286 -3.648 1.672
2.283 2.449 4.953
Ag Ir Y
1 2 1
direct
0.500 0.500 0.770 Ag
0.500 0.500 0.220 Ir
0.000 0.000 0.022 Ir
0.000 0.000 0.487 Y
```

## Properties
* space group: Pmm2
* polymorph energy (0 for the lowest one): 0.163 eV/atom
* E_tot: -27.3 eV per cell



# 5
First-principles (PBE) data for an optimized crystal structure of Ti6SnOs, as listed in Alexandria via LeMat-Bulk.

Cell and atoms, written as POSCAR:
```
Ti6SnOs
1.0
-0.508 -3.816 -2.224
4.399 1.327 -3.281
1.985 -2.856 4.447
Ti Os Sn
6 1 1
direct
0.500 0.889 0.650 Ti
0.500 0.350 0.111 Ti
0.000 0.113 0.343 Ti
0.500 0.849 0.151 Ti
0.000 0.657 0.887 Ti
0.000 0.638 0.362 Ti
0.000 0.122 0.878 Os
0.500 0.382 0.618 Sn
```

## Properties
* space group: Amm2
* E_tot: -64.6 eV per cell



# 6
First-principles (PBE) data for an optimized crystal structure of TeRu3Se, as listed in Alexandria via LeMat-Bulk.

Cell and atoms, written as POSCAR:
```
TeRu3Se
1.0
-3.628 -2.495 1.301
0.681 -2.838 -3.544
2.731 -2.607 2.613
Te Ru Se
1 3 1
direct
0.500 0.500 0.500 Te
0.000 0.000 0.500 Ru
0.500 0.000 0.000 Ru
0.000 0.500 0.000 Ru
0.000 0.000 0.000 Se
```

## Properties
* space group: Pm-3m
* polymorph energy (0 for the lowest one): 0.000 eV/atom
* E_tot: -29.8 eV per cell
* uncorrected formation energy: 939 meV/atom



# 7
First-principles (PBE) data for an optimized crystal structure of Pm2NdTmTl2, as listed in Alexandria via LeMat-Bulk.

Cell and atoms, written as POSCAR:
```
Pm2NdTmTl2
1.0
-4.992 -1.090 0.767
1.037 -6.450 -2.416
2.143 -3.185 9.423
Pm Tm Nd Tl
4 2 2 4
direct
0.000 0.337 0.183 Pm
0.500 0.056 0.048 Pm
0.500 0.556 0.952 Pm
0.000 0.837 0.817 Pm
0.500 0.174 0.689 Tm
0.500 0.674 0.311 Tm
0.000 0.959 0.454 Nd
0.000 0.459 0.546 Nd
0.000 0.797 0.141 Tl
0.000 0.297 0.859 Tl
0.500 0.724 0.627 Tl
0.500 0.224 0.373 Tl
```

## Properties
* space group: Pmc2_1
* E_tot: -50.2 eV per cell



# 8
First-principles (PBE) data for an optimized crystal structure of GdBi2IO4, as listed in Alexandria via LeMat-Bulk.

Cell and atoms, written as POSCAR:
```
GdBi2IO4
1.0
3.971 0.000 0.000
0.000 3.971 0.000
0.000 0.000 9.780
Bi O Gd I
2 4 1 1
direct
0.500 0.500 0.257 Bi
0.500 0.500 0.743 Bi
0.000 0.500 0.144 O
0.500 0.000 0.856 O
0.500 0.000 0.144 O
0.000 0.500 0.856 O
0.000 0.000 0.000 Gd
0.000 0.000 0.500 I
```

## Properties
* space group: P4/mmm
* E_tot: -58.4 eV per cell
* uncorrected formation energy: -1898 meV/atom



# 9
First-principles (PBE) data for an optimized crystal structure of ThMnNb, as listed in Alexandria via LeMat-Bulk.

Cell and atoms, written as POSCAR:
```
ThMnNb
1.0
-2.080 2.092 -2.586
-5.783 -4.321 1.156
-4.313 7.497 9.534
Nb Mn Th
6 6 6
direct
0.250 0.850 0.463 Nb
0.250 0.999 0.085 Nb
0.750 0.150 0.537 Nb
0.750 0.643 0.800 Nb
0.750 0.001 0.915 Nb
0.250 0.357 0.200 Nb
0.250 0.777 0.890 Mn
0.750 0.267 0.758 Mn
0.750 0.787 0.577 Mn
0.250 0.733 0.242 Mn
0.750 0.223 0.110 Mn
0.250 0.213 0.423 Mn
0.750 0.512 0.370 Th
0.250 0.992 0.706 Th
0.250 0.350 0.922 Th
0.250 0.488 0.630 Th
0.750 0.008 0.294 Th
0.750 0.650 0.078 Th
```

## Properties
* space group: P2_1/m
* polymorph energy (0 for the lowest one): 0.000 eV/atom
* E_tot: -158.1 eV per cell



# 10
First-principles (PBE) data for an optimized crystal structure of Sc2AlCo5B2, as listed in Alexandria via LeMat-Bulk.

Cell and atoms, written as POSCAR:
```
Sc2AlCo5B2
1.0
-1.839 0.189 -2.266
-6.477 -3.215 4.990
-2.169 8.157 2.440
Co Sc B Al
10 4 4 2
direct
0.500 0.500 0.000 Co
0.500 0.931 0.223 Co
0.500 0.569 0.723 Co
0.500 0.277 0.569 Co
0.500 0.723 0.431 Co
0.500 0.777 0.931 Co
0.500 0.223 0.069 Co
0.500 0.069 0.777 Co
0.500 0.431 0.277 Co
0.500 0.000 0.500 Co
0.000 0.176 0.324 Sc
0.000 0.676 0.176 Sc
0.000 0.324 0.824 Sc
0.000 0.824 0.676 Sc
0.000 0.379 0.121 B
0.000 0.879 0.379 B
0.000 0.121 0.621 B
0.000 0.621 0.879 B
0.000 0.000 0.000 Al
0.000 0.500 0.500 Al
```

## Properties
* space group: P4/mbm
* E_tot: -142.4 eV per cell



# 11
First-principles (PBE) data for an optimized crystal structure of Ni2RuCl, as listed in Alexandria via LeMat-Bulk.

Cell and atoms, written as POSCAR:
```
Ni2RuCl
1.0
6.656 0.000 0.000
0.000 6.656 0.000
3.328 3.328 2.472
Ni Ru Cl
4 2 2
direct
0.875 0.851 0.750 Ni
0.149 0.625 0.250 Ni
0.375 0.399 0.750 Ni
0.601 0.125 0.250 Ni
0.750 0.250 0.500 Ru
0.000 0.000 0.000 Ru
0.500 0.500 0.000 Cl
0.250 0.750 0.500 Cl
```

## Properties
* space group: I-42d
* polymorph energy (0 for the lowest one): 0.380 eV/atom
* E_tot: -40.2 eV per cell
* uncorrected formation energy: 648 meV/atom